Below is a geometry-optimized TlAgI2 structure, with properties calculated at the PBE level.

abc: 3.997 3.997 8.270
angles: 90.00 90.00 90.00
Fractional positions:
Tl 0.500 0.500 0.500
I 0.000 0.000 0.773
I 0.000 0.000 0.227
Ag 0.500 0.500 0.000

Results
Raw formation energy in eV per atom: -0.2221
Energy relative to the lowest polymorph listed for this composition in meV/atom: 224.2